Record 1
Density functional theory data (meta-GGA SCAN) for CdP3 at its PBEsol-relaxed geometry.

```
data_CdP3
_cell_length_a 4.314
_cell_length_b 7.368
_cell_length_c 5.196
_cell_angle_alpha 90.00
_cell_angle_beta 90.00
_cell_angle_gamma 90.00
_space_group_name_H-M_alt 'P m m n'
_space_group_IT_number 59
loop_
_space_group_symop_operation_xyz
'x,y,z'
'-x,-y,-z'
'-x+1/2,-y+1/2,z'
'x+1/2,y+1/2,-z'
'x+1/2,-y,-z'
'-x+1/2,y,z'
'-x,y+1/2,-z'
'x,-y+1/2,z'
loop_
_atom_site_label
_atom_site_type_symbol
_atom_site_fract_x
_atom_site_fract_y
_atom_site_fract_z
_atom_site_occupancy
Cd1 Cd 0.250 0.250 0.070 1
P1 P 0.250 0.000 0.417 1
P2 P 0.250 0.750 0.188 1
```

## Properties
Electronic total energy = -123.7 eV/cell
Total magnetic moment = 0.00 μB/f.u.
Energy relative to the elements = -0.06 eV/atom
Density of states at the Fermi level = 1.56 states/eV per cell
Offset from the most stable computed form = 0.000 eV/atom

Record 2
Density functional theory data (meta-GGA SCAN) for TlMoP2 at its PBEsol-relaxed geometry.

```
data_TlMoP2
_cell_length_a 5.638
_cell_length_b 7.100
_cell_length_c 3.280
_cell_angle_alpha 90.00
_cell_angle_beta 90.23
_cell_angle_gamma 90.00
_space_group_name_H-M_alt 'C 1 2/m 1'
_space_group_IT_number 12
loop_
_space_group_symop_operation_xyz
'x,y,z'
'-x,-y,-z'
'-x,y,-z'
'x,-y,z'
'x+1/2,y+1/2,z'
'-x+1/2,-y+1/2,-z'
'-x+1/2,y+1/2,-z'
'x+1/2,-y+1/2,z'
loop_
_atom_site_label
_atom_site_type_symbol
_atom_site_fract_x
_atom_site_fract_y
_atom_site_fract_z
_atom_site_occupancy
Tl1 Tl 0.000 0.000 0.000 1
Mo1 Mo 0.000 0.500 0.000 1
P1 P 0.250 0.250 0.500 1
```

## Properties
Electronic total energy = -249.9 eV/cell
Total magnetic moment = 0.00 μB/f.u.
Energy relative to the elements = 0.77 eV/atom
Density of states at the Fermi level = 4.86 states/eV per cell
Offset from the most stable computed form = 0.610 eV/atom

Record 3
Density functional theory data (meta-GGA SCAN) for FeB3W at its PBEsol-relaxed geometry.

```
data_FeB3W
_cell_length_a 3.640
_cell_length_b 3.640
_cell_length_c 3.640
_cell_angle_alpha 90.00
_cell_angle_beta 90.00
_cell_angle_gamma 90.00
_space_group_name_H-M_alt 'P m -3 m'
_space_group_IT_number 221
_space_group_name_Hall '-P 4 2 3'
loop_
_atom_site_label
_atom_site_type_symbol
_atom_site_fract_x
_atom_site_fract_y
_atom_site_fract_z
_atom_site_occupancy
Fe1 Fe 0.000 0.000 0.000 1
B1 B 0.000 0.000 0.500 1
W1 W 0.500 0.500 0.500 1
```

## Properties
Electronic total energy = -104.4 eV/cell
Total magnetic moment = 1.06 μB/f.u.
Energy relative to the elements = 1.14 eV/atom
Density of states at the Fermi level = 1.56 states/eV per cell

Record 4
Density functional theory data (meta-GGA SCAN) for LaIrBr2 at its PBEsol-relaxed geometry.

```
data_LaIrBr2
_cell_length_a 4.420
_cell_length_b 4.010
_cell_length_c 5.013
_cell_angle_alpha 90.00
_cell_angle_beta 102.20
_cell_angle_gamma 90.00
_space_group_name_H-M_alt 'P 1 2/m 1'
_space_group_IT_number 10
loop_
_space_group_symop_operation_xyz
'x,y,z'
'-x,-y,-z'
'-x,y,-z'
'x,-y,z'
loop_
_atom_site_label
_atom_site_type_symbol
_atom_site_fract_x
_atom_site_fract_y
_atom_site_fract_z
_atom_site_occupancy
La1 La 0.000 0.000 0.000 1
Ir1 Ir 0.000 0.500 0.500 1
Br1 Br 0.500 0.000 0.500 1
Br2 Br 0.500 0.500 0.000 1
```

## Properties
Electronic total energy = -154.9 eV/cell
ΔE_f (raw) = -0.44 eV/atom
Total magnetic moment = 0.00 μB/f.u.
Density of states at the Fermi level = 1.93 states/eV per cell
Offset from the most stable computed form = 0.000 eV/atom